! CrCu2O4 GGA+U optimized geometry; values from VASP
&SYSTEM
  ibrav = 0, nat = 7, ntyp = 3
/
ATOMIC_SPECIES
Cu 63.55 Cu.upf
Cr 52.00 Cr.upf
O 16.00 O.upf
ATOMIC_POSITIONS crystal
Cu 0.500 0.000 0.500
Cu 0.000 0.500 0.500
Cr 0.000 0.000 0.000
O 0.214 0.786 0.758
O 0.786 0.214 0.758
O 0.214 0.214 0.242
O 0.786 0.786 0.242
CELL_PARAMETERS angstrom
-0.975 -0.058 -4.447
3.831 -2.323 -0.810
-2.189 -3.795 0.529
! total energy = -41.54 eV per cell

---

! CrCu3O GGA+U optimized geometry; values from VASP
&SYSTEM
  ibrav = 0, nat = 5, ntyp = 3
/
ATOMIC_SPECIES
Cu 63.55 Cu.upf
Cr 52.00 Cr.upf
O 16.00 O.upf
ATOMIC_POSITIONS crystal
Cu 0.000 0.500 0.000
Cu 0.000 0.000 0.500
Cu 0.500 0.000 0.000
Cr 0.000 0.000 0.000
O 0.500 0.500 0.500
CELL_PARAMETERS angstrom
-3.081 -2.007 -2.788
3.101 -0.015 -3.417
1.477 -4.155 1.359
! energy above the most stable polymorph in this dataset = 1468.7 meV per atom

---

! Cr3Cu2O12 GGA+U optimized geometry; values from VASP
&SYSTEM
  ibrav = 0, nat = 68, ntyp = 3
/
ATOMIC_SPECIES
Cr 52.00 Cr.upf
O 16.00 O.upf
Cu 63.55 Cu.upf
ATOMIC_POSITIONS crystal
Cr 0.105 0.622 0.850
Cr 0.391 0.383 0.357
Cr 0.609 0.617 0.643
Cr 0.109 0.883 0.143
Cr 0.966 0.250 0.511
Cr 0.891 0.117 0.857
Cr 0.534 0.750 0.989
Cr 0.395 0.122 0.650
Cr 0.605 0.878 0.350
Cr 0.034 0.750 0.489
Cr 0.895 0.378 0.150
Cr 0.466 0.250 0.011
O 0.075 0.114 0.901
O 0.881 0.193 0.162
O 0.932 0.672 0.385
O 0.925 0.579 0.811
O 0.269 0.430 0.457
O 0.231 0.930 0.043
O 0.231 0.532 0.773
O 0.425 0.921 0.311
O 0.425 0.614 0.599
O 0.908 0.374 0.418
O 0.575 0.079 0.689
O 0.344 0.213 0.315
O 0.187 0.831 0.434
O 0.928 0.875 0.554
O 0.844 0.287 0.815
O 0.731 0.968 0.273
O 0.731 0.570 0.543
O 0.572 0.375 0.946
O 0.381 0.307 0.662
O 0.132 0.574 0.981
O 0.925 0.886 0.099
O 0.269 0.032 0.727
O 0.119 0.807 0.838
O 0.628 0.497 0.746
O 0.769 0.468 0.227
O 0.813 0.169 0.566
O 0.156 0.713 0.185
O 0.372 0.503 0.254
O 0.592 0.874 0.082
O 0.619 0.693 0.338
O 0.656 0.787 0.685
O 0.868 0.426 0.019
O 0.632 0.926 0.481
O 0.568 0.172 0.115
O 0.769 0.070 0.957
O 0.072 0.125 0.446
O 0.075 0.421 0.189
O 0.408 0.126 0.918
O 0.092 0.626 0.582
O 0.575 0.386 0.401
O 0.687 0.669 0.934
O 0.368 0.074 0.519
O 0.313 0.331 0.066
O 0.128 0.003 0.246
O 0.428 0.625 0.054
O 0.068 0.328 0.615
O 0.872 0.997 0.754
O 0.432 0.828 0.885
Cu 0.754 0.470 0.882
Cu 0.246 0.469 0.614
Cu 0.746 0.970 0.618
Cu 0.754 0.531 0.386
Cu 0.254 0.030 0.382
Cu 0.746 0.031 0.114
Cu 0.246 0.530 0.118
Cu 0.254 0.969 0.886
CELL_PARAMETERS angstrom
-5.802 -6.374 -0.808
3.567 -4.153 7.142
-7.513 6.145 7.325
! total energy = -416.08 eV per cell

---

! CrCu3O6 GGA+U optimized geometry; values from VASP
&SYSTEM
  ibrav = 0, nat = 20, ntyp = 3
/
ATOMIC_SPECIES
O 16.00 O.upf
Cu 63.55 Cu.upf
Cr 52.00 Cr.upf
ATOMIC_POSITIONS crystal
O 0.654 0.798 0.441
O 0.202 0.559 0.346
O 0.125 0.305 0.913
O 0.559 0.346 0.202
O 0.346 0.202 0.559
O 0.798 0.441 0.654
O 0.695 0.087 0.875
O 0.913 0.125 0.305
O 0.875 0.695 0.087
O 0.441 0.654 0.798
O 0.087 0.875 0.695
O 0.305 0.913 0.125
Cu 0.406 0.958 0.732
Cu 0.958 0.732 0.406
Cu 0.594 0.042 0.268
Cu 0.268 0.594 0.042
Cu 0.042 0.268 0.594
Cu 0.732 0.406 0.958
Cr 0.000 0.000 0.000
Cr 0.500 0.500 0.500
CELL_PARAMETERS angstrom
-0.834 5.815 0.566
-2.261 -1.431 5.260
5.629 0.040 1.773
! total energy = -113.32 eV per cell

---

! Cr2CuO7 GGA+U optimized geometry; values from VASP
&SYSTEM
  ibrav = 0, nat = 60, ntyp = 3
/
ATOMIC_SPECIES
O 16.00 O.upf
Cr 52.00 Cr.upf
Cu 63.55 Cu.upf
ATOMIC_POSITIONS crystal
O 0.262 0.117 0.504
O 0.617 0.069 0.846
O 0.229 0.794 0.849
O 0.098 0.198 0.152
O 0.771 0.294 0.849
O 0.383 0.931 0.154
O 0.869 0.097 0.408
O 0.419 0.618 0.510
O 0.581 0.382 0.490
O 0.131 0.903 0.592
O 0.262 0.383 0.496
O 0.227 0.444 0.170
O 0.738 0.883 0.496
O 0.648 0.750 0.000
O 0.080 0.566 0.911
O 0.902 0.802 0.848
O 0.620 0.740 0.258
O 0.620 0.760 0.742
O 0.617 0.431 0.154
O 0.869 0.403 0.592
O 0.840 0.093 0.663
O 0.160 0.593 0.663
O 0.227 0.056 0.830
O 0.773 0.944 0.170
O 0.840 0.407 0.337
O 0.229 0.706 0.151
O 0.131 0.597 0.408
O 0.080 0.934 0.089
O 0.920 0.434 0.089
O 0.920 0.066 0.911
O 0.771 0.206 0.151
O 0.160 0.907 0.337
O 0.581 0.118 0.510
O 0.352 0.250 0.000
O 0.380 0.240 0.258
O 0.773 0.556 0.830
O 0.419 0.882 0.490
O 0.098 0.302 0.848
O 0.380 0.260 0.742
O 0.383 0.569 0.846
O 0.738 0.617 0.504
O 0.902 0.698 0.152
Cr 0.217 0.631 0.819
Cr 0.737 0.717 0.850
Cr 0.263 0.283 0.150
Cr 0.783 0.131 0.819
Cr 0.263 0.217 0.850
Cr 0.246 0.546 0.514
Cr 0.783 0.369 0.181
Cr 0.754 0.046 0.514
Cr 0.217 0.869 0.181
Cr 0.246 0.954 0.486
Cr 0.754 0.454 0.486
Cr 0.737 0.783 0.150
Cu 0.931 0.428 0.863
Cu 0.931 0.072 0.137
Cu 0.424 0.250 0.500
Cu 0.576 0.750 0.500
Cu 0.069 0.928 0.863
Cu 0.069 0.572 0.137
CELL_PARAMETERS angstrom
-1.363 7.000 -4.722
5.125 -4.193 -7.697
-9.388 -3.958 -3.157
! total energy = -380.26 eV per cell

---

! CrCuO2 GGA+U optimized geometry; values from VASP
&SYSTEM
  ibrav = 0, nat = 8, ntyp = 3
/
ATOMIC_SPECIES
O 16.00 O.upf
Cu 63.55 Cu.upf
Cr 52.00 Cr.upf
ATOMIC_POSITIONS crystal
O 0.148 0.625 0.250
O 0.875 0.852 0.750
O 0.602 0.125 0.250
O 0.375 0.398 0.750
Cu 0.750 0.250 0.500
Cu 0.000 0.000 0.000
Cr 0.500 0.500 0.000
Cr 0.250 0.750 0.500
CELL_PARAMETERS angstrom
4.335 0.000 0.000
0.000 4.335 0.000
2.167 2.167 5.147
! energy above the most stable polymorph in this dataset = 458.6 meV per atom

---

! CrCu6O8 GGA+U optimized geometry; values from VASP
&SYSTEM
  ibrav = 0, nat = 15, ntyp = 3
/
ATOMIC_SPECIES
Cr 52.00 Cr.upf
Cu 63.55 Cu.upf
O 16.00 O.upf
ATOMIC_POSITIONS crystal
Cr 0.000 0.000 0.000
Cu 0.253 0.500 0.000
Cu 0.500 0.000 0.253
Cu 0.747 0.500 0.000
Cu 0.000 0.253 0.500
Cu 0.500 0.000 0.747
Cu 0.000 0.747 0.500
O 0.773 0.228 0.228
O 0.772 0.772 0.227
O 0.228 0.228 0.228
O 0.772 0.772 0.772
O 0.228 0.228 0.773
O 0.228 0.773 0.228
O 0.227 0.772 0.772
O 0.772 0.227 0.772
CELL_PARAMETERS angstrom
-4.410 0.046 3.210
-0.265 -5.440 -0.290
3.201 -0.388 4.399
! total energy = -82.28 eV per cell

---

! Cr2CuO GGA+U optimized geometry; values from VASP
&SYSTEM
  ibrav = 0, nat = 8, ntyp = 3
/
ATOMIC_SPECIES
O 16.00 O.upf
Cr 52.00 Cr.upf
Cu 63.55 Cu.upf
ATOMIC_POSITIONS crystal
O 0.250 0.750 0.500
O 0.500 0.500 0.000
Cr 0.375 0.503 0.750
Cr 0.875 0.747 0.750
Cr 0.497 0.125 0.250
Cr 0.253 0.625 0.250
Cu 0.000 0.000 0.000
Cu 0.750 0.250 0.500
CELL_PARAMETERS angstrom
5.324 0.000 0.000
0.000 5.324 0.000
2.662 2.662 5.257
! total energy = -49.00 eV per cell

---

! CrCuO GGA+U optimized geometry; values from VASP
&SYSTEM
  ibrav = 0, nat = 6, ntyp = 3
/
ATOMIC_SPECIES
O 16.00 O.upf
Cu 63.55 Cu.upf
Cr 52.00 Cr.upf
ATOMIC_POSITIONS crystal
O 0.595 0.595 0.216
O 0.405 0.405 0.784
Cu 0.863 0.863 0.410
Cu 0.137 0.137 0.590
Cr 0.296 0.296 0.111
Cr 0.704 0.704 0.889
CELL_PARAMETERS angstrom
-2.508 0.994 0.757
-2.268 -1.636 -0.180
0.013 -3.499 9.822
! total energy = -34.04 eV per cell

---

! CrCu3O GGA+U optimized geometry; values from VASP
&SYSTEM
  ibrav = 0, nat = 5, ntyp = 3
/
ATOMIC_SPECIES
Cu 63.55 Cu.upf
O 16.00 O.upf
Cr 52.00 Cr.upf
ATOMIC_POSITIONS crystal
Cu 0.500 0.000 0.000
Cu 0.000 0.000 0.500
Cu 0.000 0.500 0.000
O 0.000 0.000 0.000
Cr 0.500 0.500 0.500
CELL_PARAMETERS angstrom
-2.877 0.990 -2.681
-0.680 -3.932 -0.722
-2.775 -0.063 2.955
! energy above the most stable polymorph in this dataset = 0.0 meV per atom

---

! Cr2CuO4 GGA+U optimized geometry; values from VASP
&SYSTEM
  ibrav = 0, nat = 14, ntyp = 3
/
ATOMIC_SPECIES
O 16.00 O.upf
Cr 52.00 Cr.upf
Cu 63.55 Cu.upf
ATOMIC_POSITIONS crystal
O 0.726 0.589 0.863
O 0.226 0.613 0.839
O 0.726 0.137 0.863
O 0.774 0.613 0.387
O 0.226 0.613 0.387
O 0.274 0.137 0.863
O 0.774 0.161 0.387
O 0.274 0.137 0.411
Cr 0.750 0.375 0.625
Cr 0.250 0.375 0.625
Cr 0.250 0.875 0.625
Cr 0.750 0.375 0.125
Cu 0.500 0.750 0.250
Cu 0.000 0.000 0.000
CELL_PARAMETERS angstrom
-5.765 1.516 -0.326
2.289 -1.931 5.168
4.215 4.221 -0.297
! total energy = -99.65 eV per cell

---

! CrCuO2 GGA+U optimized geometry; values from VASP
&SYSTEM
  ibrav = 0, nat = 8, ntyp = 3
/
ATOMIC_SPECIES
O 16.00 O.upf
Cr 52.00 Cr.upf
Cu 63.55 Cu.upf
ATOMIC_POSITIONS crystal
O 0.333 0.912 0.667
O 0.667 0.412 0.333
O 0.333 0.588 0.667
O 0.667 0.088 0.333
Cr 0.000 0.000 0.000
Cr 0.000 0.500 0.000
Cu 0.667 0.250 0.333
Cu 0.333 0.750 0.667
CELL_PARAMETERS angstrom
-1.986 1.254 1.942
-8.410 -6.288 -4.541
1.487 -2.546 0.773
! energy above the most stable polymorph in this dataset = 0.1 meV per atom